VASP calculation (PBE-GGA) on a relaxed BaGeAs2F crystal.

extended XYZ file:
```
5
Lattice="4.968 0.000 0.000 0.000 4.974 0.000 0.000 0.000 4.968" Properties=species:S:1:pos:R:3 pbc="T T T"
As 2.484 0.000 0.000
As 0.000 0.000 2.484
Ba 0.000 2.487 0.000
F 0.000 0.000 0.000
Ge 2.484 2.487 2.484
```

ΔE_f (raw) ... -2.1 eV per formula unit
SG ... P4/mmm (123)
Crystal system ... tetragonal


VASP calculation (PBE-GGA) on a relaxed Ba8As3I4F crystal.

extended XYZ file:
```
16
Lattice="9.488 0.000 0.000 0.000 9.923 0.299 -4.744 -4.739 6.712" Properties=species:S:1:pos:R:3 pbc="T T T"
I 2.372 -2.369 3.356
I -2.372 -2.369 3.356
I 4.744 0.000 0.000
I 0.000 0.000 0.000
Ba 0.000 0.366 3.610
Ba 2.381 2.772 0.287
Ba 2.363 2.412 6.724
Ba -2.363 2.412 6.724
Ba 4.744 0.412 3.629
Ba 7.107 2.772 0.287
Ba 0.000 4.772 3.382
Ba 4.744 4.818 3.400
As 4.744 4.961 0.149
As 2.372 2.592 3.505
As -2.372 2.592 3.505
F 0.000 4.961 0.149
```

ΔE_f (raw) ... -25.1 eV per formula unit
SG ... R-3m (166)
Crystal system ... trigonal


VASP calculation (PBE-GGA) on a relaxed BaInAsF crystal.

extended XYZ file:
```
8
Lattice="4.902 0.000 0.000 0.000 4.902 0.000 0.000 0.000 8.599" Properties=species:S:1:pos:R:3 pbc="T T T"
Ba 2.451 0.000 5.517
Ba 0.000 2.451 3.082
As 2.451 0.000 1.442
As 0.000 2.451 7.157
In 2.451 2.451 0.000
In 0.000 0.000 0.000
F 0.000 0.000 4.299
F 2.451 2.451 4.299
```

ΔE_f (raw) ... -6.8 eV per formula unit
SG ... P4/nmm (129)
Crystal system ... tetragonal


VASP calculation (PBE-GGA) on a relaxed BaAsIrF crystal.

extended XYZ file:
```
8
Lattice="-2.142 1.858 3.066 2.237 -2.099 2.835 6.445 7.120 0.187" Properties=species:S:1:pos:R:3 pbc="T T T"
Ba 3.246 1.301 1.479
Ba 3.246 5.699 1.659
As -0.146 1.952 1.560
As 6.638 5.049 1.578
Ir 0.000 0.000 0.000
Ir 0.047 -0.120 2.951
F 3.269 3.440 3.044
F 3.222 3.560 0.094
```

ΔE_f (raw) ... -7.3 eV per formula unit
SG ... P4/nmm (129)
Crystal system ... tetragonal


VASP calculation (PBE-GGA) on a relaxed BaLiAsF6 crystal.

extended XYZ file:
```
9
Lattice="5.503 0.025 0.007 2.773 4.754 -0.007 0.007 -0.013 5.660" Properties=species:S:1:pos:R:3 pbc="T T T"
F 7.236 2.983 4.001
F 6.210 4.762 1.658
F 4.470 1.806 4.019
F 2.066 0.035 3.986
F 3.806 2.959 1.641
F 1.067 1.758 1.675
Li 5.509 3.173 2.829
As 2.765 1.588 2.830
Ba 0.008 -0.012 5.659
```

ΔE_f (raw) ... -25.7 eV per formula unit
SG ... C2 (5)
Crystal system ... monoclinic


VASP calculation (PBE-GGA) on a relaxed BaAsN2F crystal.

extended XYZ file:
```
5
Lattice="5.493 0.000 0.000 0.000 5.493 0.000 0.000 0.000 4.895" Properties=species:S:1:pos:R:3 pbc="T T T"
As 2.746 2.746 2.447
N 0.000 2.746 0.000
N 2.746 0.000 0.000
F 0.000 0.000 2.447
Ba 0.000 0.000 0.000
```

ΔE_f (raw) ... 4.5 eV per formula unit
Energy relative to the lowest polymorph listed for this composition ... 1471 meV per atom
SG ... P4/mmm (123)
Crystal system ... tetragonal